First-principles (PBE) data for YTm2Th4 after structural relaxation, as listed in Alexandria via LeMat-Bulk.

Geometry as CIF:
```
data_YTm2Th4
_cell_length_a 6.6681
_cell_length_b 11.9956
_cell_length_c 11.5907
_cell_angle_alpha 90.00
_cell_angle_beta 90.05
_cell_angle_gamma 90.00
_symmetry_space_group_name_H-M 'C 1 2/c 1'
_symmetry_Int_Tables_number 15
loop_
_symmetry_equiv_pos_as_xyz
'x,y,z'
'-x,-y,-z'
'-x,y,-z+1/2'
'x,-y,z+1/2'
'x+1/2,y+1/2,z'
'-x+1/2,-y+1/2,-z'
'-x+1/2,y+1/2,-z+1/2'
'x+1/2,-y+1/2,z+1/2'
loop_
_atom_site_label
_atom_site_type_symbol
_atom_site_fract_x
_atom_site_fract_y
_atom_site_fract_z
Y1 Y 0.0000 0.1611 0.2500
Tm1 Tm 0.0000 0.1242 0.7500
Tm2 Tm 0.0000 0.4819 0.2500
Th1 Th 0.9999 0.2757 0.5194
Th2 Th 0.2303 0.9998 0.9997
```

Output
Its total magnetization is 0.00 μB/cell. Its total DFT energy (no corrections) is -6.205 eV/atom. As for the formation energy: 1.65 eV per formula unit.



First-principles (PBE) data for Y2Tm3Th3 after structural relaxation, as listed in Alexandria via LeMat-Bulk.

Geometry as CIF:
```
data_Y2Tm3Th3
_cell_length_a 9.0428
_cell_length_b 9.0428
_cell_length_c 3.5920
_cell_angle_alpha 90.00
_cell_angle_beta 90.00
_cell_angle_gamma 120.00
_symmetry_space_group_name_H-M 'P -6 2 m'
_symmetry_Int_Tables_number 189
_symmetry_space_group_name_Hall 'P -6 -2'
loop_
_atom_site_label
_atom_site_type_symbol
_atom_site_fract_x
_atom_site_fract_y
_atom_site_fract_z
Y1 Y 0.3333 0.6667 0.0000
Tm1 Tm 0.0000 0.6062 0.5000
Th1 Th 0.0000 0.2284 0.0000
```

Output
Its total magnetization is 0.00 μB/cell. Its total DFT energy (no corrections) is -5.931 eV/atom. As for the formation energy: 1.15 eV per formula unit. The value obtained for the energy above the most stable polymorph in this dataset is 0.1094 eV per atom.



First-principles (PBE) data for Y8TmTh4 after structural relaxation, as listed in Alexandria via LeMat-Bulk.

Geometry as CIF:
```
data_Y8TmTh4
_cell_length_a 7.3893
_cell_length_b 7.3893
_cell_length_c 27.0008
_cell_angle_alpha 90.00
_cell_angle_beta 90.00
_cell_angle_gamma 120.00
_symmetry_space_group_name_H-M 'R -3 m'
_symmetry_Int_Tables_number 166
_symmetry_space_group_name_Hall '-R 3 2"'
loop_
_atom_site_label
_atom_site_type_symbol
_atom_site_fract_x
_atom_site_fract_y
_atom_site_fract_z
Y1 Y 0.0000 0.0000 0.2192
Y2 Y 0.0358 0.5179 0.7677
Tm1 Tm 0.0000 0.0000 0.5000
Th1 Th 0.0000 0.0000 0.0000
Th2 Th 0.0000 0.5000 0.0000
```

Output
Its total magnetization is 0.00 μB/cell. Its total DFT energy (no corrections) is -6.381 eV/atom. As for the formation energy: 2.91 eV per formula unit.



The lowest total DFT energy (no corrections) belongs to which entry? Y8TmTh4